A plane-wave DFT calculation with PBE was carried out for a relaxed structure of Hf2SeO.

Summary:
- crystal system = cubic
- E above lowest polymorph (meV per atom) = 357
- symmetry = Fm-3m (225)
- formation energy from raw total energies (meV/atom) = -971

abc: 4.435 4.435 4.435
angles: 60.00 60.00 60.00
Fractional positions:
O  0.000  0.000  0.000
Hf  0.750  0.750  0.750
Hf  0.250  0.250  0.250
Se  0.500  0.500  0.500

A plane-wave DFT calculation with PBE was carried out for a relaxed structure of LaErS2.

Summary:
- crystal system = monoclinic
- E above lowest polymorph (meV per atom) = 0
- symmetry = C2/m (12)
- formation energy from raw total energies (meV/atom) = -2072

abc: 3.965 3.965 7.067
angles: 73.65 73.65 60.16
Fractional positions:
La  0.500  0.500  0.500
S  0.258  0.258  0.225
S  0.742  0.742  0.775
Er  0.000  0.000  0.000

A plane-wave DFT calculation with PBE was carried out for a relaxed structure of CeTmPd4.

Summary:
- crystal system = orthorhombic
- E above lowest polymorph (meV per atom) = 0
- calculated formation energy (eV per atom) = -0.838
- symmetry = Cmcm (63)

abc: 4.175 5.772 10.051
angles: 90.00 101.99 90.00
Fractional positions:
Pd  0.574  0.250  0.149
Pd  0.850  0.511  0.701
Pd  0.150  0.489  0.299
Pd  0.850  0.989  0.701
Pd  0.426  0.750  0.851
Pd  0.000  0.000  0.000
Pd  0.000  0.500  0.000
Pd  0.150  0.011  0.299
Ce  0.420  0.250  0.841
Ce  0.580  0.750  0.159
Tm  0.725  0.250  0.450
Tm  0.275  0.750  0.550

A plane-wave DFT calculation with PBE was carried out for a relaxed structure of Ba3Zn2In2Sn4.

Summary:
- crystal system = trigonal
- calculated formation energy (eV per atom) = -0.428
- symmetry = P-3m1 (164)

abc: 4.820 4.820 18.074
angles: 90.00 90.00 120.00
Fractional positions:
Sn  0.667  0.333  0.610
Sn  0.667  0.333  0.135
Sn  0.333  0.667  0.865
Sn  0.333  0.667  0.390
Ba  0.000  0.000  0.270
Ba  0.000  0.000  0.000
Ba  0.000  0.000  0.730
In  0.333  0.667  0.562
In  0.667  0.333  0.438
Zn  0.333  0.667  0.137
Zn  0.667  0.333  0.863

A plane-wave DFT calculation with PBE was carried out for a relaxed structure of La4GeRuCl2.

Summary:
- crystal system = monoclinic
- symmetry = P2/m (10)
- formation energy from raw total energies (meV/atom) = -1164

abc: 4.230 7.553 7.716
angles: 107.36 90.00 90.00
Fractional positions:
La  0.500  0.262  0.208
La  0.500  0.738  0.792
La  0.000  0.728  0.214
La  0.000  0.272  0.786
Ru  0.500  0.500  0.000
Cl  0.000  0.500  0.500
Cl  0.500  0.000  0.500
Ge  0.000  0.000  0.000

A plane-wave DFT calculation with PBE was carried out for a relaxed structure of GaPd3Pt4.

Summary:
- crystal system = orthorhombic
- E above lowest polymorph (meV per atom) = 142
- calculated formation energy (eV per atom) = -0.107
- symmetry = Imm2 (44)

abc: 5.808 5.808 5.808
angles: 82.07 124.57 124.78
Fractional positions:
Pt  0.082  0.733  0.815
Pt  0.084  0.245  0.839
Pt  0.593  0.755  0.839
Pt  0.082  0.267  0.349
Pd  0.585  0.256  0.841
Pd  0.321  0.000  0.321
Pd  0.585  0.744  0.329
Ga  0.819  0.500  0.319

A plane-wave DFT calculation with PBE was carried out for a relaxed structure of MnCdPd6.

Summary:
- crystal system = trigonal
- E above lowest polymorph (meV per atom) = 457
- calculated formation energy (eV per atom) = 0.227
- symmetry = R-3m (166)

abc: 5.292 5.292 5.292
angles: 87.91 87.91 87.91
Fractional positions:
Pd  0.461  0.830  0.830
Pd  0.539  0.170  0.170
Pd  0.170  0.539  0.170
Pd  0.830  0.830  0.461
Pd  0.170  0.170  0.539
Pd  0.830  0.461  0.830
Mn  0.500  0.500  0.500
Cd  0.000  0.000  0.000

A plane-wave DFT calculation with PBE was carried out for a relaxed structure of Ti2HW.

Summary:
- crystal system = tetragonal
- E above lowest polymorph (meV per atom) = 215
- symmetry = I-42d (122)

abc: 5.678 5.678 5.241
angles: 57.20 57.20 90.00
Fractional positions:
H  0.250  0.750  0.500
H  0.500  0.500  0.000
Ti  0.875  0.766  0.750
Ti  0.375  0.484  0.750
Ti  0.234  0.625  0.250
Ti  0.516  0.125  0.250
W  0.750  0.250  0.500
W  0.000  0.000  0.000

A plane-wave DFT calculation with PBE was carried out for a relaxed structure of CeNdTl.

Summary:
- crystal system = tetragonal
- E above lowest polymorph (meV per atom) = 0
- calculated formation energy (eV per atom) = -0.125
- symmetry = I4mm (107)

abc: 4.202 4.202 5.806
angles: 111.21 111.21 90.00
Fractional positions:
Nd  0.941  0.941  0.882
Tl  0.283  0.283  0.566
Ce  0.626  0.626  0.252

A plane-wave DFT calculation with PBE was carried out for a relaxed structure of RbCa2Hg2.

Summary:
- crystal system = tetragonal
- E above lowest polymorph (meV per atom) = 0
- calculated formation energy (eV per atom) = -0.286
- symmetry = P4/mbm (127)

abc: 9.411 9.411 3.867
angles: 90.00 90.00 90.00
Fractional positions:
Hg  0.150  0.350  0.000
Hg  0.850  0.650  0.000
Hg  0.650  0.150  0.000
Hg  0.350  0.850  0.000
Rb  0.000  0.000  0.000
Rb  0.500  0.500  0.000
Ca  0.861  0.361  0.500
Ca  0.139  0.639  0.500
Ca  0.361  0.139  0.500
Ca  0.639  0.861  0.500

A plane-wave DFT calculation with PBE was carried out for a relaxed structure of Tc3IrRu.

Summary:
- crystal system = cubic
- E above lowest polymorph (meV per atom) = 1726
- calculated formation energy (eV per atom) = 1.954
- symmetry = Pm-3m (221)

abc: 4.548 4.548 4.548
angles: 90.00 90.00 90.00
Fractional positions:
Ir  0.500  0.500  0.500
Tc  0.000  0.000  0.500
Tc  0.500  0.000  0.000
Tc  0.000  0.500  0.000
Ru  0.000  0.000  0.000

A plane-wave DFT calculation with PBE was carried out for a relaxed structure of ScAlIn2.

Summary:
- crystal system = trigonal
- calculated formation energy (eV per atom) = -0.065
- symmetry = R-3m (166)

abc: 10.039 10.039 10.039
angles: 18.70 18.70 18.70
Fractional positions:
In  0.002  0.002  0.002
In  0.498  0.498  0.498
Sc  0.250  0.250  0.250
Al  0.750  0.750  0.750

A plane-wave DFT calculation with PBE was carried out for a relaxed structure of Tb7PrY2.

Summary:
- crystal system = orthorhombic
- E above lowest polymorph (meV per atom) = 682
- calculated formation energy (eV per atom) = 0.697
- symmetry = Cmmm (65)

abc: 5.488 9.474 9.474
angles: 125.65 90.00 90.00
Fractional positions:
Pr  0.000  0.000  0.000
Tb  0.500  0.500  0.500
Tb  0.500  0.288  0.066
Tb  0.000  0.795  0.205
Tb  0.000  0.205  0.795
Tb  0.500  0.934  0.712
Tb  0.500  0.066  0.288
Tb  0.500  0.712  0.934
Y  0.500  0.296  0.704
Y  0.500  0.704  0.296

A plane-wave DFT calculation with PBE was carried out for a relaxed structure of Ba2Li15Cd2.

Summary:
- crystal system = trigonal
- calculated formation energy (eV per atom) = -0.043
- symmetry = R-3m (166)

abc: 7.806 7.806 7.806
angles: 83.28 83.28 83.28
Fractional positions:
Li  0.127  0.664  0.664
Li  0.664  0.127  0.664
Li  0.873  0.336  0.336
Li  0.000  0.500  0.000
Li  0.000  0.273  0.727
Li  0.273  0.000  0.727
Li  0.727  0.273  0.000
Li  0.727  0.000  0.273
Li  0.000  0.000  0.500
Li  0.000  0.727  0.273
Li  0.336  0.873  0.336
Li  0.273  0.727  0.000
Li  0.336  0.336  0.873
Li  0.664  0.664  0.127
Li  0.500  0.000  0.000
Ba  0.649  0.649  0.649
Ba  0.351  0.351  0.351
Cd  0.899  0.899  0.899
Cd  0.101  0.101  0.101

A plane-wave DFT calculation with PBE was carried out for a relaxed structure of Ti2Cu5Pd2.

Summary:
- crystal system = orthorhombic
- calculated formation energy (eV per atom) = -0.128
- symmetry = Ima2 (46)

abc: 4.759 7.017 8.629
angles: 113.99 106.01 90.00
Fractional positions:
Cu  0.986  0.257  0.156
Cu  0.670  0.757  0.156
Cu  0.865  0.336  0.500
Cu  0.739  0.549  0.335
Cu  0.330  0.602  0.844
Cu  0.014  0.102  0.844
Cu  0.261  0.213  0.665
Cu  0.904  0.713  0.665
Cu  0.096  0.049  0.335
Cu  0.135  0.836  0.500
Pd  0.000  0.846  0.000
Pd  0.639  0.986  0.500
Pd  0.500  0.346  0.000
Pd  0.361  0.486  0.500
Ti  0.794  0.423  0.800
Ti  0.506  0.923  0.800
Ti  0.494  0.123  0.200
Ti  0.206  0.623  0.200

A plane-wave DFT calculation with PBE was carried out for a relaxed structure of AcDy2ErTl4.

Summary:
- crystal system = trigonal
- calculated formation energy (eV per atom) = -0.307
- symmetry = R-3m (166)

abc: 5.477 5.477 9.596
angles: 73.42 73.42 60.00
Fractional positions:
Er  0.500  0.500  0.500
Dy  0.248  0.248  0.256
Dy  0.752  0.752  0.744
Tl  0.871  0.871  0.386
Tl  0.381  0.381  0.858
Tl  0.129  0.129  0.614
Tl  0.619  0.619  0.142
Ac  0.000  0.000  0.000

A plane-wave DFT calculation with PBE was carried out for a relaxed structure of PO2F2.

Summary:
- crystal system = tetragonal
- E above lowest polymorph (meV per atom) = 1856
- symmetry = P4/mmm (123)
- formation energy from raw total energies (meV/atom) = 954

abc: 3.523 3.523 4.255
angles: 90.00 90.00 90.00
Fractional positions:
O  0.500  0.000  0.000
O  0.000  0.500  0.000
P  0.500  0.500  0.500
F  0.000  0.000  0.000
F  0.000  0.000  0.500

A plane-wave DFT calculation with PBE was carried out for a relaxed structure of CdP.

Summary:
- crystal system = hexagonal
- E above lowest polymorph (meV per atom) = 357
- calculated formation energy (eV per atom) = 0.316
- symmetry = P6_3mc (186)

abc: 3.943 3.943 7.485
angles: 90.00 90.00 120.00
Fractional positions:
P  0.667  0.333  0.873
P  0.333  0.667  0.373
Cd  0.667  0.333  0.209
Cd  0.333  0.667  0.709

A plane-wave DFT calculation with PBE was carried out for a relaxed structure of LiEr2HfS4.

Summary:
- crystal system = monoclinic
- symmetry = P2/m (10)
- formation energy from raw total energies (meV/atom) = -1718

abc: 3.766 6.590 6.411
angles: 109.24 90.00 90.00
Fractional positions:
S  0.000  0.252  0.767
S  0.500  0.755  0.765
S  0.000  0.748  0.233
S  0.500  0.245  0.235
Li  0.000  0.000  0.000
Er  0.000  0.500  0.500
Er  0.500  0.000  0.500
Hf  0.500  0.500  0.000

A plane-wave DFT calculation with PBE was carried out for a relaxed structure of TbPm3Pr5.

Summary:
- crystal system = monoclinic
- calculated formation energy (eV per atom) = 0.388
- symmetry = C2/m (12)

abc: 9.649 9.649 9.681
angles: 76.41 76.41 51.08
Fractional positions:
Tb  0.874  0.874  0.837
Tb  0.126  0.126  0.163
Pr  0.125  0.552  0.576
Pr  0.448  0.875  0.424
Pr  0.552  0.125  0.576
Pr  0.693  0.693  0.083
Pr  0.677  0.323  0.000
Pr  0.307  0.307  0.917
Pr  0.875  0.448  0.424
Pr  0.502  0.502  0.326
Pr  0.323  0.677  0.000
Pr  0.498  0.498  0.674
Pm  0.000  0.000  0.500
Pm  0.000  0.000  0.000
Pm  0.690  0.690  0.733
Pm  0.151  0.151  0.719
Pm  0.849  0.849  0.281
Pm  0.310  0.310  0.267

A plane-wave DFT calculation with PBE was carried out for a relaxed structure of Zn2OsPb2.

Summary:
- crystal system = tetragonal
- E above lowest polymorph (meV per atom) = 0
- calculated formation energy (eV per atom) = 0.620
- symmetry = P4/mbm (127)

abc: 6.693 6.693 4.754
angles: 90.00 90.00 90.00
Fractional positions:
Os  0.500  0.500  0.000
Os  0.000  0.000  0.000
Zn  0.641  0.141  0.000
Zn  0.859  0.641  0.000
Zn  0.359  0.859  0.000
Zn  0.141  0.359  0.000
Pb  0.316  0.184  0.500
Pb  0.816  0.316  0.500
Pb  0.684  0.816  0.500
Pb  0.184  0.684  0.500

A plane-wave DFT calculation with PBE was carried out for a relaxed structure of HoZnInCo.

Summary:
- crystal system = cubic
- calculated formation energy (eV per atom) = -0.158
- symmetry = F-43m (216)

abc: 4.698 4.698 4.698
angles: 60.00 60.00 60.00
Fractional positions:
Ho  0.750  0.750  0.750
Co  0.500  0.500  0.500
Zn  0.000  0.000  0.000
In  0.250  0.250  0.250

A plane-wave DFT calculation with PBE was carried out for a relaxed structure of PuNbRh2.

Summary:
- crystal system = tetragonal
- E above lowest polymorph (meV per atom) = 0
- calculated formation energy (eV per atom) = -0.344
- symmetry = P4/mmm (123)

abc: 3.013 3.013 7.838
angles: 90.00 90.00 90.00
Fractional positions:
Nb  0.500  0.500  0.000
Rh  0.000  0.000  0.223
Rh  0.000  0.000  0.777
Pu  0.500  0.500  0.500

A plane-wave DFT calculation with PBE was carried out for a relaxed structure of CrOs2W.

Summary:
- crystal system = tetragonal
- E above lowest polymorph (meV per atom) = 101
- calculated formation energy (eV per atom) = 0.192
- symmetry = P4mm (99)

abc: 2.721 2.721 7.735
angles: 90.00 90.00 90.00
Fractional positions:
Cr  0.500  0.500  0.762
Os  0.500  0.500  0.241
Os  0.000  0.000  0.991
W  0.000  0.000  0.506